[1]
## Zn2Ni7 (PBE)

Data for a relaxed Zn2Ni7 crystal.

a b c (Å): 2.411 2.411 23.369
angles (deg): 90.00 90.00 120.00
Last column: magnetic moment on the atom in μB.
Positions (direct):
Zn 0.333 0.667 0.141  0.00
Ni 0.667 0.333 0.588  -0.61
Ni 0.667 0.333 0.324  -0.58
Ni 0.333 0.667 0.412  -0.61
Ni 0.000 0.000 0.764  -0.42
Zn 0.667 0.333 0.859  0.00
Ni 0.000 0.000 0.236  -0.42
Ni 0.000 0.000 0.500  -0.61
Ni 0.333 0.667 0.676  -0.58

Computed properties:
ΔE_f	73	kJ/mol of formula units



[2]
## ZnCdSn2P4 (PBE)

Data for a relaxed ZnCdSn2P4 crystal.

a b c (Å): 7.106 7.106 7.106
angles (deg): 131.68 131.68 70.74
Positions (direct):
Zn 0.250 0.750 0.500
Cd 0.000 0.000 0.000
P 0.133 0.627 0.021
P 0.607 0.112 0.979
Sn 0.750 0.250 0.500
P 0.888 0.867 0.495
P 0.373 0.393 0.505
Sn 0.500 0.500 0.000

Computed properties:
total DFT energy (no corrections)	-4.117	eV per atom



[3]
## Nb5B4 (PBE)

Data for a relaxed Nb5B4 crystal.

a b c (Å): 7.143 7.143 5.169
angles (deg): 90.00 90.00 120.00
Positions (direct):
B 0.607 0.000 0.250
B 0.000 0.000 0.500
Nb 0.333 0.667 0.500
Nb 0.741 0.000 0.750
B 0.607 0.607 0.750
B 0.393 0.000 0.750
Nb 0.000 0.741 0.750
Nb 0.259 0.000 0.250
Nb 0.000 0.259 0.250
Nb 0.333 0.667 0.000
B 0.000 0.393 0.750
B 0.000 0.000 0.000
B 0.393 0.393 0.250
B 0.000 0.607 0.250
Nb 0.667 0.333 0.500
Nb 0.259 0.259 0.750
Nb 0.667 0.333 0.000
Nb 0.741 0.741 0.250

Computed properties:
total DFT energy (no corrections)	-8.970	eV per atom



[4]
## AsOsCl6 (PBE)

Data for a relaxed AsOsCl6 crystal.

a b c (Å): 6.621 6.621 6.621
angles (deg): 60.00 60.00 60.00
Last column: magnetic moment on the atom in μB.
Positions (direct):
Cl 0.505 0.995 0.505  0.08
As 0.500 0.500 0.500  -0.58
Cl 0.995 0.505 0.505  0.07
Cl 0.505 0.505 0.995  0.10
Os 0.750 0.750 0.750  1.44
Cl 0.995 0.505 0.995  0.07
Cl 0.505 0.995 0.995  0.08
Cl 0.995 0.995 0.505  0.08

Computed properties:
total DFT energy (no corrections)	-3.472	eV per atom